The following is a DFT calculation (GGA-PBE) of a geometry-optimized PmThIrRh structure.

The value obtained for the total DFT energy (no corrections) is -7.82 eV/atom. For the energy of formation, the calculation gives -0.726 eV/atom. As for the spin magnetization: 0.0 μB per formula unit. The value obtained for the distance to the lowest polymorph of the same formula is 143.2 meV per atom. Its density of states at the Fermi level is 11.43 states/eV/cell.

The structure belongs to space group F-43m (No. 216); the cell edges are 7.0890, 7.0890 and 7.0890 Å and the angles 90.00°, 90.00° and 90.00°. Symmetry generates all atoms from Pm at (0.0000, 0.0000, 0.0000), Th at (0.0000, 0.0000, 0.5000), Ir at (0.2500, 0.2500, 0.2500) and Rh at (0.2500, 0.2500, 0.7500).